# 1
Here is crystalline Pr2GdMg3CdGa2 at its relaxed geometry from the Open Quantum Materials Database. Energies are from PBE.

Mass density   5.7 g/cm³
Energy   -3.30 eV/atom

abc: 4.581 12.964 7.557
angles: 90.00 90.00 90.00
Space group Amm2 (No. 38)
Symmetry-distinct sites (fractional):
Pr  0.000  0.214  0.000
Gd  0.000  0.000  0.356
Mg  0.500  0.000  0.032
Mg  0.500  0.124  0.660
Cd  0.000  0.000  0.778
Ga  0.500  0.164  0.287

# 2
Here is crystalline Gd2TmMg3CdGa2 at its relaxed geometry from the Open Quantum Materials Database. Energies are from PBE.

Mass density   6.4 g/cm³
Energy   -3.26 eV/atom

abc: 4.476 12.704 7.413
angles: 90.00 90.00 90.00
Space group Amm2 (No. 38)
Symmetry-distinct sites (fractional):
Gd  0.000  0.215  0.000
Tm  0.000  0.000  0.352
Mg  0.500  0.000  0.032
Mg  0.500  0.124  0.659
Cd  0.000  0.000  0.779
Ga  0.500  0.165  0.285

# 3
Here is crystalline GdTm2Mg3CdGa2 at its relaxed geometry from the Open Quantum Materials Database. Energies are from PBE.

Mass density   6.6 g/cm³
Energy   -3.22 eV/atom

abc: 4.455 12.764 7.296
angles: 90.00 90.00 90.00
Space group Amm2 (No. 38)
Symmetry-distinct sites (fractional):
Gd  0.000  0.000  0.000
Tm  0.000  0.216  0.352
Mg  0.500  0.000  0.318
Mg  0.500  0.124  0.692
Cd  0.000  0.000  0.563
Ga  0.500  0.168  0.069

# 4
Here is crystalline Gd2YMg3CdGa2 at its relaxed geometry from the Open Quantum Materials Database. Energies are from PBE.

Mass density   5.7 g/cm³
Energy   -3.49 eV/atom

abc: 4.485 12.803 7.418
angles: 90.00 90.00 90.00
Space group Amm2 (No. 38)
Symmetry-distinct sites (fractional):
Gd  0.000  0.215  0.000
Y  0.000  0.000  0.354
Mg  0.500  0.000  0.034
Mg  0.500  0.124  0.660
Cd  0.000  0.000  0.783
Ga  0.500  0.166  0.285

# 5
Here is crystalline Gd3Cd3Ga2Pd at its relaxed geometry from the Open Quantum Materials Database. Energies are from PBE.

Mass density   8.6 g/cm³
Energy   -3.69 eV/atom

abc: 7.3633 7.3633 4.3492
angles: 90.00 90.00 120.00
Space group P-62m (No. 189)
Symmetry-distinct sites (fractional):
Gd  0.0000  0.4096  0.0000
Cd  0.0000  0.7526  0.5000
Ga  0.3333  0.6667  0.5000
Pd  0.0000  0.0000  0.0000

# 6
Here is crystalline Gd3Zn2CdGa2Pd at its relaxed geometry from the Open Quantum Materials Database. Energies are from PBE.

Mass density   8.3 g/cm³
Energy   -3.78 eV/atom

abc: 4.306 12.314 7.214
angles: 90.00 90.00 90.00
Space group Amm2 (No. 38)
Symmetry-distinct sites (fractional):
Gd  0.000  0.000  0.000
Gd  0.000  0.207  0.615
Zn  0.500  0.120  0.286
Cd  0.500  0.000  0.648
Ga  0.500  0.171  0.912
Pd  0.000  0.000  0.392

# 7
Here is crystalline Gd3Cd3GaPt2 at its relaxed geometry from the Open Quantum Materials Database. Energies are from PBE.

Mass density   10.6 g/cm³
Energy   -4.30 eV/atom

abc: 7.6690 7.6690 3.9042
angles: 90.00 90.00 120.00
Space group P-62m (No. 189)
Symmetry-distinct sites (fractional):
Gd  0.0000  0.5862  0.0000
Cd  0.0000  0.2565  0.5000
Ga  0.0000  0.0000  0.0000
Pt  0.3333  0.6667  0.5000

# 8
Here is crystalline Gd3Cd3Ga2Pt at its relaxed geometry from the Open Quantum Materials Database. Energies are from PBE.

Mass density   9.3 g/cm³
Energy   -3.83 eV/atom

abc: 7.3319 7.3319 4.3842
angles: 90.00 90.00 120.00
Space group P-62m (No. 189)
Symmetry-distinct sites (fractional):
Gd  0.0000  0.5953  0.0000
Cd  0.0000  0.2494  0.5000
Ga  0.3333  0.6667  0.5000
Pt  0.0000  0.0000  0.0000